<one>
## VSBrCl2 (PBE)

Data for a relaxed structure of VSBrCl2.

As for the calculated volume: 26.3 Å³ per atom. Its space group is P4/mmm (123). Its magnetic moment is 0.3 Bohr magnetons per cell.

Geometry as POSCAR:
```
VSBrCl2
1.0
5.081 0.000 0.000
0.000 5.081 0.000
0.000 0.000 5.084
S Cl Br V
1 2 1 1
direct
0.000 0.000 0.500
0.500 0.000 0.000
0.000 0.500 0.000
0.000 0.000 0.000
0.500 0.500 0.500
```

=====

<two>
## VSBrCl2 (PBE)

Data for a relaxed structure of VSBrCl2.

As for the calculated volume: 20.5 Å³ per atom. Its space group is P4/mmm (123). Its magnetic moment is 0.0 Bohr magnetons per cell.

Geometry as POSCAR:
```
VSBrCl2
1.0
4.682 0.000 0.000
0.000 4.682 0.000
0.000 0.000 4.680
Br V Cl S
1 1 2 1
direct
0.500 0.500 0.500
0.000 0.000 0.000
0.000 0.500 0.000
0.500 0.000 0.000
0.000 0.000 0.500
```

=====

What are the relative energies? In eV/atom: <one> 1.399; <two> 0.000.

=====

<one>
## WSBrCl2 (PBE)

Data for a relaxed structure of WSBrCl2.

As for the calculated volume: 21.5 Å³ per atom. Its space group is P4/mmm (123). Its magnetic moment is 0.0 Bohr magnetons per cell.

Geometry as POSCAR:
```
WSBrCl2
1.0
4.792 0.000 0.000
0.000 4.792 0.000
0.000 0.000 4.687
Cl S Br W
2 1 1 1
direct
0.000 0.500 0.000
0.500 0.000 0.000
0.000 0.000 0.500
0.500 0.500 0.500
0.000 0.000 0.000
```

=====

<two>
## WSBrCl2 (PBE)

Data for a relaxed structure of WSBrCl2.

As for the calculated volume: 26.2 Å³ per atom. Its space group is P4/mmm (123). Its magnetic moment is 4.1 Bohr magnetons per cell.

Geometry as POSCAR:
```
WSBrCl2
1.0
4.998 0.000 0.000
0.000 4.998 0.000
0.000 0.000 5.237
Cl W Br S
2 1 1 1
direct
0.000 0.500 0.000
0.500 0.000 0.000
0.500 0.500 0.500
0.000 0.000 0.000
0.000 0.000 0.500
```

=====

What are the relative energies? In eV/atom: <one> 0.000; <two> 1.638.

=====

<one>
## YSBrCl2 (PBE)

Data for a relaxed structure of YSBrCl2.

As for the calculated volume: 30.6 Å³ per atom. Its space group is P4/mmm (123). Its magnetic moment is 2.0 Bohr magnetons per cell.

Geometry as POSCAR:
```
YSBrCl2
1.0
-0.712 2.035 4.741
2.225 -4.197 2.136
5.040 2.509 -0.320
Cl S Br Y
2 1 1 1
direct
0.500 0.000 0.000
0.000 0.500 0.000
0.000 0.000 0.500
0.500 0.500 0.500
0.000 0.000 0.000
```

=====

<two>
## YSBrCl2 (PBE)

Data for a relaxed structure of YSBrCl2.

As for the calculated volume: 27.2 Å³ per atom. Its space group is P4/mmm (123). Its magnetic moment is 0.0 Bohr magnetons per cell.

Geometry as POSCAR:
```
YSBrCl2
1.0
-3.274 -0.931 -3.771
2.319 -4.426 -0.920
-3.237 -2.404 3.404
Y Br S Cl
1 1 1 2
direct
0.500 0.500 0.500
0.000 0.000 0.000
0.000 0.000 0.500
0.000 0.500 0.000
0.500 0.000 0.000
```

=====

What are the relative energies? In eV/atom: <one> 0.000; <two> 1.121.